Entry 1:
# SrLaMg2 (GGA-PBEsol, optimized geometry)
data_SrLaMg2
_space_group_name_H-M_alt 'C 1 m 1'
_space_group_IT_number 8
_space_group_name_Hall 'C -2y'
_cell_length_a 12.805
_cell_length_b 3.747
_cell_length_c 5.830
_cell_angle_alpha 90.00
_cell_angle_beta 113.38
_cell_angle_gamma 90.00
loop_
_atom_site_label
_atom_site_type_symbol
_atom_site_fract_x
_atom_site_fract_y
_atom_site_fract_z
_atom_site_occupancy
Sr1 Sr 0.000 0.000 0.000 1
La1 La 0.291 0.500 0.321 1
Mg1 Mg 0.042 0.500 0.534 1
Mg2 Mg 0.241 0.000 0.781 1
# Energy of formation from the pure elements ... 14 meV/atom
# Total magnetic moment ... 0.0 μB per formula unit


Entry 2:
# GaSCl3 (GGA-PBEsol, optimized geometry)
data_GaSCl3
_space_group_name_H-M_alt 'P m -3 m'
_space_group_IT_number 221
_space_group_name_Hall '-P 4 2 3'
_cell_length_a 4.795
_cell_length_b 4.795
_cell_length_c 4.795
_cell_angle_alpha 90.00
_cell_angle_beta 90.00
_cell_angle_gamma 90.00
loop_
_atom_site_label
_atom_site_type_symbol
_atom_site_fract_x
_atom_site_fract_y
_atom_site_fract_z
_atom_site_occupancy
Ga1 Ga 0.000 0.000 0.000 1
S1 S 0.500 0.500 0.500 1
Cl1 Cl 0.000 0.000 0.500 1
# Energy relative to the elements, uncorrected ... -0.07 eV per atom
# Total magnetic moment ... 2.3 μB per formula unit


Entry 3:
# Mg3AgAu (GGA-PBEsol, optimized geometry)
data_Mg3AgAu
_space_group_name_H-M_alt 'P m -3 m'
_space_group_IT_number 221
_space_group_name_Hall '-P 4 2 3'
_cell_length_a 4.952
_cell_length_b 4.952
_cell_length_c 4.952
_cell_angle_alpha 90.00
_cell_angle_beta 90.00
_cell_angle_gamma 90.00
loop_
_atom_site_label
_atom_site_type_symbol
_atom_site_fract_x
_atom_site_fract_y
_atom_site_fract_z
_atom_site_occupancy
Mg1 Mg 0.000 0.000 0.500 1
Ag1 Ag 0.000 0.000 0.000 1
Au1 Au 0.500 0.500 0.500 1
# Energy of formation from the pure elements ... 251 meV/atom
# Total magnetic moment ... 0.0 μB per formula unit


Entry 4:
# TcNiOs (GGA-PBEsol, optimized geometry)
data_TcNiOs
_space_group_name_H-M_alt 'I m m 2'
_space_group_IT_number 44
_space_group_name_Hall 'I 2 -2'
_cell_length_a 2.656
_cell_length_b 3.731
_cell_length_c 7.779
_cell_angle_alpha 90.00
_cell_angle_beta 90.00
_cell_angle_gamma 90.00
loop_
_atom_site_label
_atom_site_type_symbol
_atom_site_fract_x
_atom_site_fract_y
_atom_site_fract_z
_atom_site_occupancy
Tc1 Tc 0.000 0.000 0.000 1
Ni1 Ni 0.000 0.000 0.666 1
Os1 Os 0.000 0.000 0.331 1
# Energy of formation from the pure elements ... 13 meV/atom
# Total magnetic moment ... 0.0 μB per formula unit


Entry 5:
# TaAgAsPd2 (GGA-PBEsol, optimized geometry)
data_TaAgAsPd2
_space_group_name_H-M_alt 'P 4/m m m'
_space_group_IT_number 123
_space_group_name_Hall '-P 4 2'
_cell_length_a 4.542
_cell_length_b 4.542
_cell_length_c 4.734
_cell_angle_alpha 90.00
_cell_angle_beta 90.00
_cell_angle_gamma 90.00
loop_
_atom_site_label
_atom_site_type_symbol
_atom_site_fract_x
_atom_site_fract_y
_atom_site_fract_z
_atom_site_occupancy
Ta1 Ta 0.000 0.000 0.000 1
Ag1 Ag 0.500 0.500 0.000 1
As1 As 0.000 0.000 0.500 1
Pd1 Pd 0.000 0.500 0.500 1
# Energy of formation from the pure elements ... 565 meV/atom
# Total magnetic moment ... 0.0 μB per formula unit


Entry 6:
# Al2AgBr (GGA-PBEsol, optimized geometry)
data_Al2AgBr
_space_group_name_H-M_alt 'I m m m'
_space_group_IT_number 71
_space_group_name_Hall '-I 2 2'
_cell_length_a 3.130
_cell_length_b 5.344
_cell_length_c 9.310
_cell_angle_alpha 90.00
_cell_angle_beta 90.00
_cell_angle_gamma 90.00
loop_
_atom_site_label
_atom_site_type_symbol
_atom_site_fract_x
_atom_site_fract_y
_atom_site_fract_z
_atom_site_occupancy
Al1 Al 0.000 0.000 0.243 1
Ag1 Ag 0.000 0.500 0.500 1
Br1 Br 0.000 0.500 0.000 1
# Energy relative to the elements, uncorrected ... 0.16 eV per atom
# Total magnetic moment ... 0.0 μB per formula unit


Entry 7:
# CrIrRh (GGA-PBEsol, optimized geometry)
data_CrIrRh
_space_group_name_H-M_alt 'P 3 m 1'
_space_group_IT_number 156
_space_group_name_Hall 'P 3 -2"'
_cell_length_a 2.6493
_cell_length_b 2.6493
_cell_length_c 6.4257
_cell_angle_alpha 90.00
_cell_angle_beta 90.00
_cell_angle_gamma 120.00
loop_
_atom_site_label
_atom_site_type_symbol
_atom_site_fract_x
_atom_site_fract_y
_atom_site_fract_z
_atom_site_occupancy
Cr1 Cr 0.0000 0.0000 0.0000 1
Ir1 Ir 0.3333 0.6667 0.6830 1
Rh1 Rh 0.6667 0.3333 0.3170 1
# Energy of formation from the pure elements ... -95 meV/atom
# Total magnetic moment ... 0.0 μB per formula unit


Entry 8:
# ZrOsPb (GGA-PBEsol, optimized geometry)
data_ZrOsPb
_space_group_name_H-M_alt 'P 3 m 1'
_space_group_IT_number 156
_space_group_name_Hall 'P 3 -2"'
_cell_length_a 3.2770
_cell_length_b 3.2770
_cell_length_c 6.8037
_cell_angle_alpha 90.00
_cell_angle_beta 90.00
_cell_angle_gamma 120.00
loop_
_atom_site_label
_atom_site_type_symbol
_atom_site_fract_x
_atom_site_fract_y
_atom_site_fract_z
_atom_site_occupancy
Zr1 Zr 0.0000 0.0000 0.0000 1
Os1 Os 0.6667 0.3333 0.7386 1
Pb1 Pb 0.3333 0.6667 0.3939 1
# Energy of formation from the pure elements ... 305 meV/atom
# Total magnetic moment ... 0.0 μB per formula unit


Entry 9:
# Ta3CrCu (GGA-PBEsol, optimized geometry)
data_Ta3CrCu
_space_group_name_H-M_alt 'P m -3 m'
_space_group_IT_number 221
_space_group_name_Hall '-P 4 2 3'
_cell_length_a 4.519
_cell_length_b 4.519
_cell_length_c 4.519
_cell_angle_alpha 90.00
_cell_angle_beta 90.00
_cell_angle_gamma 90.00
loop_
_atom_site_label
_atom_site_type_symbol
_atom_site_fract_x
_atom_site_fract_y
_atom_site_fract_z
_atom_site_occupancy
Ta1 Ta 0.000 0.000 0.500 1
Cr1 Cr 0.000 0.000 0.000 1
Cu1 Cu 0.500 0.500 0.500 1
# Energy of formation from the pure elements ... 1223 meV/atom
# Total magnetic moment ... 0.0 μB per formula unit


Entry 10:
# Be2SbPb (GGA-PBEsol, optimized geometry)
data_Be2SbPb
_space_group_name_H-M_alt 'F -4 3 m'
_space_group_IT_number 216
_space_group_name_Hall 'F -4 2 3'
_cell_length_a 6.878
_cell_length_b 6.878
_cell_length_c 6.878
_cell_angle_alpha 90.00
_cell_angle_beta 90.00
_cell_angle_gamma 90.00
loop_
_atom_site_label
_atom_site_type_symbol
_atom_site_fract_x
_atom_site_fract_y
_atom_site_fract_z
_atom_site_occupancy
Be1 Be 0.000 0.000 0.000 1
Be2 Be 0.250 0.250 0.250 1
Sb1 Sb 0.250 0.250 0.750 1
Pb1 Pb 0.000 0.000 0.500 1
# Energy relative to the elements, uncorrected ... 0.95 eV per atom
# Total magnetic moment ... 0.0 μB per formula unit


Entry 11:
# FeCl3 (GGA-PBEsol, optimized geometry)
data_FeCl3
_space_group_name_H-M_alt 'P 1'
_space_group_IT_number 1
_space_group_name_Hall 'P 1'
_cell_length_a 3.653
_cell_length_b 7.109
_cell_length_c 9.437
_cell_angle_alpha 74.01
_cell_angle_beta 79.75
_cell_angle_gamma 76.52
loop_
_atom_site_label
_atom_site_type_symbol
_atom_site_fract_x
_atom_site_fract_y
_atom_site_fract_z
_atom_site_occupancy
Fe1 Fe 0.000 0.000 0.000 1
Fe2 Fe 0.059 0.407 0.459 1
Cl1 Cl 0.154 0.721 0.944 1
Cl2 Cl 0.156 0.098 0.563 1
Cl3 Cl 0.463 0.186 0.898 1
Cl4 Cl 0.596 0.480 0.305 1
Cl5 Cl 0.903 0.586 0.614 1
Cl6 Cl 0.906 0.971 0.232 1
# Energy relative to the elements, uncorrected ... -0.62 eV per atom
# Total magnetic moment ... 5.0 μB per formula unit


Entry 12:
# ScCu13 (GGA-PBEsol, optimized geometry)
data_ScCu13
_space_group_name_H-M_alt 'F m -3 c'
_space_group_IT_number 226
_space_group_name_Hall '-F 4a 2 3'
_cell_length_a 11.259
_cell_length_b 11.259
_cell_length_c 11.259
_cell_angle_alpha 90.00
_cell_angle_beta 90.00
_cell_angle_gamma 90.00
loop_
_atom_site_label
_atom_site_type_symbol
_atom_site_fract_x
_atom_site_fract_y
_atom_site_fract_z
_atom_site_occupancy
Sc1 Sc 0.250 0.250 0.250 1
Cu1 Cu 0.000 0.000 0.000 1
Cu2 Cu 0.000 0.119 0.180 1
# Energy of formation from the pure elements ... 40 meV/atom
# Total magnetic moment ... 0.0 μB per formula unit


Entry 13:
# RbGe3 (GGA-PBEsol, optimized geometry)
data_RbGe3
_space_group_name_H-M_alt 'P 63/m m c'
_space_group_IT_number 194
_space_group_name_Hall '-P 6c 2c'
_cell_length_a 7.2926
_cell_length_b 7.2926
_cell_length_c 4.8050
_cell_angle_alpha 90.00
_cell_angle_beta 90.00
_cell_angle_gamma 120.00
loop_
_atom_site_label
_atom_site_type_symbol
_atom_site_fract_x
_atom_site_fract_y
_atom_site_fract_z
_atom_site_occupancy
Rb1 Rb 0.3333 0.6667 0.2500 1
Ge1 Ge 0.1201 0.2402 0.7500 1
# Energy of formation from the pure elements ... -15 meV/atom
# Total magnetic moment ... 0.0 μB per formula unit


Entry 14:
# PdCCl2 (GGA-PBEsol, optimized geometry)
data_PdCCl2
_space_group_name_H-M_alt 'F m -3 m'
_space_group_IT_number 225
_space_group_name_Hall '-F 4 2 3'
_cell_length_a 6.129
_cell_length_b 6.129
_cell_length_c 6.129
_cell_angle_alpha 90.00
_cell_angle_beta 90.00
_cell_angle_gamma 90.00
loop_
_atom_site_label
_atom_site_type_symbol
_atom_site_fract_x
_atom_site_fract_y
_atom_site_fract_z
_atom_site_occupancy
Pd1 Pd 0.000 0.000 0.000 1
C1 C 0.000 0.000 0.500 1
Cl1 Cl 0.250 0.250 0.250 1
# Energy relative to the elements, uncorrected ... 1.56 eV per atom
# Total magnetic moment ... 0.0 μB per formula unit


Entry 15:
# SnHAu3 (GGA-PBEsol, optimized geometry)
data_SnHAu3
_space_group_name_H-M_alt 'P m -3 m'
_space_group_IT_number 221
_space_group_name_Hall '-P 4 2 3'
_cell_length_a 5.143
_cell_length_b 5.143
_cell_length_c 5.143
_cell_angle_alpha 90.00
_cell_angle_beta 90.00
_cell_angle_gamma 90.00
loop_
_atom_site_label
_atom_site_type_symbol
_atom_site_fract_x
_atom_site_fract_y
_atom_site_fract_z
_atom_site_occupancy
Sn1 Sn 0.000 0.000 0.000 1
H1 H 0.500 0.500 0.500 1
Au1 Au 0.000 0.000 0.500 1
# Energy ... -2.82 eV/atom
# Total magnetic moment ... 1.0 μB per formula unit


Entry 16:
# ZrPRu2 (GGA-PBEsol, optimized geometry)
data_ZrPRu2
_space_group_name_H-M_alt 'P 4/m m m'
_space_group_IT_number 123
_space_group_name_Hall '-P 4 2'
_cell_length_a 4.125
_cell_length_b 4.125
_cell_length_c 3.381
_cell_angle_alpha 90.00
_cell_angle_beta 90.00
_cell_angle_gamma 90.00
loop_
_atom_site_label
_atom_site_type_symbol
_atom_site_fract_x
_atom_site_fract_y
_atom_site_fract_z
_atom_site_occupancy
Zr1 Zr 0.000 0.000 0.000 1
P1 P 0.500 0.500 0.000 1
Ru1 Ru 0.000 0.500 0.500 1
# Energy of formation from the pure elements ... -488 meV/atom
# Total magnetic moment ... 0.0 μB per formula unit


Entry 17:
# SrTcAs (GGA-PBEsol, optimized geometry)
data_SrTcAs
_space_group_name_H-M_alt 'F -4 3 m'
_space_group_IT_number 216
_space_group_name_Hall 'F -4 2 3'
_cell_length_a 6.852
_cell_length_b 6.852
_cell_length_c 6.852
_cell_angle_alpha 90.00
_cell_angle_beta 90.00
_cell_angle_gamma 90.00
loop_
_atom_site_label
_atom_site_type_symbol
_atom_site_fract_x
_atom_site_fract_y
_atom_site_fract_z
_atom_site_occupancy
Sr1 Sr 0.000 0.000 0.000 1
Tc1 Tc 0.250 0.250 0.750 1
As1 As 0.250 0.250 0.250 1
# Energy of formation from the pure elements ... 1398 meV/atom
# Total magnetic moment ... 3.4 μB per formula unit


Entry 18:
# Hf3MgIr (GGA-PBEsol, optimized geometry)
data_Hf3MgIr
_space_group_name_H-M_alt 'P m -3 m'
_space_group_IT_number 221
_space_group_name_Hall '-P 4 2 3'
_cell_length_a 4.994
_cell_length_b 4.994
_cell_length_c 4.994
_cell_angle_alpha 90.00
_cell_angle_beta 90.00
_cell_angle_gamma 90.00
loop_
_atom_site_label
_atom_site_type_symbol
_atom_site_fract_x
_atom_site_fract_y
_atom_site_fract_z
_atom_site_occupancy
Hf1 Hf 0.000 0.000 0.500 1
Mg1 Mg 0.500 0.500 0.500 1
Ir1 Ir 0.000 0.000 0.000 1
# Energy of formation from the pure elements ... 247 meV/atom
# Total magnetic moment ... 0.0 μB per formula unit


Entry 19:
# Na2AuSe (GGA-PBEsol, optimized geometry)
data_Na2AuSe
_space_group_name_H-M_alt 'I -4 2 d'
_space_group_IT_number 122
_space_group_name_Hall 'I -4 2bw'
_cell_length_a 7.958
_cell_length_b 7.958
_cell_length_c 5.599
_cell_angle_alpha 90.00
_cell_angle_beta 90.00
_cell_angle_gamma 90.00
loop_
_atom_site_label
_atom_site_type_symbol
_atom_site_fract_x
_atom_site_fract_y
_atom_site_fract_z
_atom_site_occupancy
Na1 Na 0.237 0.250 0.125 1
Au1 Au 0.000 0.000 0.500 1
Se1 Se 0.000 0.000 0.000 1
# Energy relative to the elements, uncorrected ... -0.41 eV per atom
# Total magnetic moment ... 0.0 μB per formula unit


Entry 20:
# SrLiRe2I (GGA-PBEsol, optimized geometry)
data_SrLiRe2I
_space_group_name_H-M_alt 'P 4/m m m'
_space_group_IT_number 123
_space_group_name_Hall '-P 4 2'
_cell_length_a 4.892
_cell_length_b 4.892
_cell_length_c 5.820
_cell_angle_alpha 90.00
_cell_angle_beta 90.00
_cell_angle_gamma 90.00
loop_
_atom_site_label
_atom_site_type_symbol
_atom_site_fract_x
_atom_site_fract_y
_atom_site_fract_z
_atom_site_occupancy
Sr1 Sr 0.000 0.000 0.000 1
Li1 Li 0.500 0.500 0.000 1
Re1 Re 0.000 0.500 0.500 1
I1 I 0.000 0.000 0.500 1
# Energy relative to the elements, uncorrected ... 1.88 eV per atom
# Total magnetic moment ... 1.4 μB per formula unit